(1)
Here is a relaxed MgTeH3 crystal from Alexandria. Energies are from GGA-PBEsol.

Geometry as CIF:
```
data_MgTeH3
_cell_length_a 3.837
_cell_length_b 3.837
_cell_length_c 3.837
_cell_angle_alpha 90.00
_cell_angle_beta 90.00
_cell_angle_gamma 90.00
_symmetry_space_group_name_H-M 'P 1'
_symmetry_Int_Tables_number 1
loop_
_symmetry_equiv_pos_as_xyz
'x,y,z'
loop_
_atom_site_label
_atom_site_type_symbol
_atom_site_fract_x
_atom_site_fract_y
_atom_site_fract_z
H1 H 0.000 0.500 0.000
H2 H 0.000 0.000 0.500
H3 H 0.500 0.000 0.000
Mg1 Mg 0.000 0.000 0.000
Te1 Te 0.500 0.500 0.500
```

theoretical density = 4.6 Mg/m³
final energy = -2.611 eV per atom
space group = Pm-3m (221)
total magnetic moment = 0.00 μB per cell

(2)
Here is a relaxed SbPPtCl2 crystal from Alexandria. Energies are from GGA-PBEsol.

Geometry as CIF:
```
data_SbPPtCl2
_cell_length_a 4.880
_cell_length_b 4.880
_cell_length_c 5.335
_cell_angle_alpha 90.00
_cell_angle_beta 90.00
_cell_angle_gamma 90.00
_symmetry_space_group_name_H-M 'P 1'
_symmetry_Int_Tables_number 1
loop_
_symmetry_equiv_pos_as_xyz
'x,y,z'
loop_
_atom_site_label
_atom_site_type_symbol
_atom_site_fract_x
_atom_site_fract_y
_atom_site_fract_z
Sb1 Sb 0.000 0.000 0.000
P1 P 0.000 0.000 0.500
Pt1 Pt 0.500 0.500 0.500
Cl1 Cl 0.000 0.500 0.000
Cl2 Cl 0.500 0.000 0.000
```

theoretical density = 5.5 Mg/m³
space group = P4/mmm (123)
total magnetic moment = 0.49 μB per cell
formation energy without anion corrections = 0.931 eV/atom

(3)
Here is a relaxed LiMg10AlH24 crystal from Alexandria. Energies are from GGA-PBEsol.

Geometry as CIF:
```
data_LiMg10AlH24
_cell_length_a 4.423
_cell_length_b 8.858
_cell_length_c 8.949
_cell_angle_alpha 90.00
_cell_angle_beta 90.00
_cell_angle_gamma 90.35
_symmetry_space_group_name_H-M 'P 1'
_symmetry_Int_Tables_number 1
loop_
_symmetry_equiv_pos_as_xyz
'x,y,z'
loop_
_atom_site_label
_atom_site_type_symbol
_atom_site_fract_x
_atom_site_fract_y
_atom_site_fract_z
Al1 Al 0.500 0.000 0.168
H1 H 0.307 0.598 0.001
H2 H 0.693 0.402 0.001
H3 H 0.301 0.601 0.666
H4 H 0.699 0.399 0.666
H5 H 0.305 0.600 0.330
H6 H 0.695 0.400 0.330
H7 H 0.314 0.092 0.017
H8 H 0.686 0.908 0.017
H9 H 0.305 0.097 0.670
H10 H 0.695 0.903 0.670
H11 H 0.308 0.092 0.306
H12 H 0.692 0.908 0.306
H13 H 0.196 0.345 0.833
H14 H 0.804 0.655 0.833
H15 H 0.198 0.346 0.497
H16 H 0.802 0.654 0.497
H17 H 0.187 0.345 0.167
H18 H 0.813 0.655 0.167
H19 H 0.193 0.852 0.842
H20 H 0.807 0.148 0.842
H21 H 0.198 0.854 0.494
H22 H 0.802 0.146 0.494
H23 H 0.219 0.856 0.161
H24 H 0.781 0.144 0.161
Li1 Li 0.500 0.000 0.503
Mg1 Mg 0.000 0.747 0.999
Mg2 Mg 0.000 0.253 0.999
Mg3 Mg 0.004 0.761 0.663
Mg4 Mg 0.996 0.239 0.663
Mg5 Mg 0.005 0.755 0.335
Mg6 Mg 0.995 0.245 0.335
Mg7 Mg 0.500 0.500 0.831
Mg8 Mg 0.500 0.500 0.500
Mg9 Mg 0.500 0.500 0.167
Mg10 Mg 0.500 0.000 0.828
```

theoretical density = 1.4 Mg/m³
final energy = -3.011 eV per atom
space group = P2 (3)
total magnetic moment = 0.00 μB per cell

(4)
Here is a relaxed TcIr2Ru crystal from Alexandria. Energies are from GGA-PBEsol.

Geometry as CIF:
```
data_TcIr2Ru
_cell_length_a 2.684
_cell_length_b 3.816
_cell_length_c 5.393
_cell_angle_alpha 90.00
_cell_angle_beta 90.00
_cell_angle_gamma 90.00
_symmetry_space_group_name_H-M 'P 1'
_symmetry_Int_Tables_number 1
loop_
_symmetry_equiv_pos_as_xyz
'x,y,z'
loop_
_atom_site_label
_atom_site_type_symbol
_atom_site_fract_x
_atom_site_fract_y
_atom_site_fract_z
Ru1 Ru 0.000 0.000 0.500
Ir1 Ir 0.000 0.000 0.995
Ir2 Ir 0.500 0.500 0.256
Tc1 Tc 0.500 0.500 0.749
```

theoretical density = 17.5 Mg/m³
ΔE_f = -32 kJ/mol of formula units
space group = Pmm2 (25)
total magnetic moment = 0.00 μB per cell
distance to the lowest polymorph of the same formula = 0.0378 eV per atom

(5)
Here is a relaxed ScInCo crystal from Alexandria. Energies are from GGA-PBEsol.

Geometry as CIF:
```
data_ScInCo
_cell_length_a 4.425
_cell_length_b 4.425
_cell_length_c 4.425
_cell_angle_alpha 60.00
_cell_angle_beta 60.00
_cell_angle_gamma 60.00
_symmetry_space_group_name_H-M 'P 1'
_symmetry_Int_Tables_number 1
loop_
_symmetry_equiv_pos_as_xyz
'x,y,z'
loop_
_atom_site_label
_atom_site_type_symbol
_atom_site_fract_x
_atom_site_fract_y
_atom_site_fract_z
Co1 Co 0.000 0.000 0.000
In1 In 0.500 0.500 0.500
Sc1 Sc 0.250 0.250 0.250
```

theoretical density = 5.9 Mg/m³
ΔE_f = 151 kJ/mol of formula units
space group = F-43m (216)
total magnetic moment = 0.51 μB per cell

(6)
Here is a relaxed SiNiRh2 crystal from Alexandria. Energies are from GGA-PBEsol.

Geometry as CIF:
```
data_SiNiRh2
_cell_length_a 2.762
_cell_length_b 4.238
_cell_length_c 4.238
_cell_angle_alpha 100.67
_cell_angle_beta 90.00
_cell_angle_gamma 90.00
_symmetry_space_group_name_H-M 'P 1'
_symmetry_Int_Tables_number 1
loop_
_symmetry_equiv_pos_as_xyz
'x,y,z'
loop_
_atom_site_label
_atom_site_type_symbol
_atom_site_fract_x
_atom_site_fract_y
_atom_site_fract_z
Ni1 Ni 0.500 0.500 0.500
Si1 Si 0.500 0.000 0.000
Rh1 Rh 0.000 0.500 0.000
Rh2 Rh 0.000 0.000 0.500
```

theoretical density = 10.0 Mg/m³
space group = Cmmm (65)
total magnetic moment = 0.00 μB per cell
formation energy without anion corrections = -0.494 eV/atom

(7)
Here is a relaxed MgSc2 crystal from Alexandria. Energies are from GGA-PBEsol.

Geometry as CIF:
```
data_MgSc2
_cell_length_a 3.317
_cell_length_b 5.085
_cell_length_c 8.346
_cell_angle_alpha 90.00
_cell_angle_beta 101.46
_cell_angle_gamma 90.00
_symmetry_space_group_name_H-M 'P 1'
_symmetry_Int_Tables_number 1
loop_
_symmetry_equiv_pos_as_xyz
'x,y,z'
loop_
_atom_site_label
_atom_site_type_symbol
_atom_site_fract_x
_atom_site_fract_y
_atom_site_fract_z
Sc1 Sc 0.604 0.750 0.208
Sc2 Sc 0.274 0.750 0.548
Sc3 Sc 0.396 0.250 0.792
Sc4 Sc 0.726 0.250 0.452
Mg1 Mg 0.939 0.750 0.877
Mg2 Mg 0.061 0.250 0.123
```

theoretical density = 2.7 Mg/m³
ΔE_f = -9 kJ/mol of formula units
space group = Cmcm (63)
total magnetic moment = 0.01 μB per cell

(8)
Here is a relaxed TmAsS crystal from Alexandria. Energies are from GGA-PBEsol.

Geometry as CIF:
```
data_TmAsS
_cell_length_a 3.688
_cell_length_b 6.863
_cell_length_c 9.282
_cell_angle_alpha 90.00
_cell_angle_beta 90.00
_cell_angle_gamma 90.00
_symmetry_space_group_name_H-M 'P 1'
_symmetry_Int_Tables_number 1
loop_
_symmetry_equiv_pos_as_xyz
'x,y,z'
loop_
_atom_site_label
_atom_site_type_symbol
_atom_site_fract_x
_atom_site_fract_y
_atom_site_fract_z
As1 As 0.250 0.108 0.958
As2 As 0.750 0.392 0.458
As3 As 0.250 0.608 0.542
As4 As 0.750 0.892 0.042
Tm1 Tm 0.750 0.792 0.340
Tm2 Tm 0.250 0.208 0.660
Tm3 Tm 0.750 0.292 0.160
Tm4 Tm 0.250 0.708 0.840
S1 S 0.750 0.414 0.841
S2 S 0.250 0.086 0.341
S3 S 0.750 0.914 0.659
S4 S 0.250 0.586 0.159
```

theoretical density = 7.8 Mg/m³
space group = Pnma (62)
total magnetic moment = 0.00 μB per cell
formation energy without anion corrections = -1.513 eV/atom

(9)
Here is a relaxed Sr3AgHg crystal from Alexandria. Energies are from GGA-PBEsol.

Geometry as CIF:
```
data_Sr3AgHg
_cell_length_a 6.055
_cell_length_b 6.055
_cell_length_c 6.055
_cell_angle_alpha 90.00
_cell_angle_beta 90.00
_cell_angle_gamma 90.00
_symmetry_space_group_name_H-M 'P 1'
_symmetry_Int_Tables_number 1
loop_
_symmetry_equiv_pos_as_xyz
'x,y,z'
loop_
_atom_site_label
_atom_site_type_symbol
_atom_site_fract_x
_atom_site_fract_y
_atom_site_fract_z
Sr1 Sr 0.000 0.500 0.000
Sr2 Sr 0.000 0.000 0.500
Sr3 Sr 0.500 0.000 0.000
Hg1 Hg 0.000 0.000 0.000
Ag1 Ag 0.500 0.500 0.500
```

theoretical density = 4.3 Mg/m³
ΔE_f = 23 kJ/mol of formula units
space group = Pm-3m (221)
total magnetic moment = 0.00 μB per cell

(10)
Here is a relaxed K2ScRh crystal from Alexandria. Energies are from GGA-PBEsol.

Geometry as CIF:
```
data_K2ScRh
_cell_length_a 5.298
_cell_length_b 5.298
_cell_length_c 5.298
_cell_angle_alpha 60.00
_cell_angle_beta 60.00
_cell_angle_gamma 60.00
_symmetry_space_group_name_H-M 'P 1'
_symmetry_Int_Tables_number 1
loop_
_symmetry_equiv_pos_as_xyz
'x,y,z'
loop_
_atom_site_label
_atom_site_type_symbol
_atom_site_fract_x
_atom_site_fract_y
_atom_site_fract_z
K1 K 0.250 0.250 0.250
K2 K 0.750 0.750 0.750
Rh1 Rh 0.000 0.000 0.000
Sc1 Sc 0.500 0.500 0.500
```

theoretical density = 3.6 Mg/m³
ΔE_f = 426 kJ/mol of formula units
space group = Fm-3m (225)
total magnetic moment = 0.28 μB per cell
distance to the lowest polymorph of the same formula = 0.2300 eV per atom

(11)
Here is a relaxed LiMgAs crystal from Alexandria. Energies are from GGA-PBEsol.

Geometry as CIF:
```
data_LiMgAs
_cell_length_a 3.127
_cell_length_b 3.127
_cell_length_c 6.647
_cell_angle_alpha 90.00
_cell_angle_beta 90.00
_cell_angle_gamma 120.00
_symmetry_space_group_name_H-M 'P 1'
_symmetry_Int_Tables_number 1
loop_
_symmetry_equiv_pos_as_xyz
'x,y,z'
loop_
_atom_site_label
_atom_site_type_symbol
_atom_site_fract_x
_atom_site_fract_y
_atom_site_fract_z
As1 As 0.000 0.000 0.989
Mg1 Mg 0.333 0.667 0.316
Li1 Li 0.667 0.333 0.695
```

theoretical density = 3.1 Mg/m³
ΔE_f = -54 kJ/mol of formula units
space group = P3m1 (156)
total magnetic moment = 0.00 μB per cell

(12)
Here is a relaxed Zr2ScPb crystal from Alexandria. Energies are from GGA-PBEsol.

Geometry as CIF:
```
data_Zr2ScPb
_cell_length_a 4.310
_cell_length_b 4.310
_cell_length_c 5.652
_cell_angle_alpha 112.41
_cell_angle_beta 112.41
_cell_angle_gamma 90.00
_symmetry_space_group_name_H-M 'P 1'
_symmetry_Int_Tables_number 1
loop_
_symmetry_equiv_pos_as_xyz
'x,y,z'
loop_
_atom_site_label
_atom_site_type_symbol
_atom_site_fract_x
_atom_site_fract_y
_atom_site_fract_z
Pb1 Pb 0.500 0.500 0.000
Sc1 Sc 0.000 0.000 0.000
Zr1 Zr 0.750 0.250 0.500
Zr2 Zr 0.250 0.750 0.500
```

theoretical density = 8.2 Mg/m³
ΔE_f = -102 kJ/mol of formula units
space group = I4/mmm (139)
total magnetic moment = 0.00 μB per cell